Entry 1:
Entry from Alexandria: Y2NpSe after structural relaxation (PBE-GGA).

Calculated values
The uncorrected formation energy comes out at -0.219 eV/atom. As for the space group: No. 166. The value obtained for the magnetization is 5.4 μB/f.u.

a b c (Å): 10.522 10.522 10.522
angles (deg): 19.98 19.98 19.98
Element x y z (fractional)
Y  0.106  0.106  0.106
Y  0.894  0.894  0.894
Np  0.000  0.000  0.000
Se  0.500  0.500  0.500

---

Entry 2:
Entry from Alexandria: AlSn2Pd after structural relaxation (PBE-GGA).

Calculated values
As for the space group: No. 122. The value obtained for the magnetization is 0.0 μB/f.u. Its formation energy is -0.03 eV per atom.

a b c (Å): 9.514 9.514 9.514
angles (deg): 152.77 152.77 38.89
Element x y z (fractional)
Al  0.000  0.000  0.000
Al  0.750  0.250  0.500
Sn  0.140  0.625  0.015
Sn  0.375  0.390  0.515
Sn  0.610  0.125  0.985
Sn  0.875  0.860  0.485
Pd  0.250  0.750  0.500
Pd  0.500  0.500  0.000

---

Entry 3:
Entry from Alexandria: CsRb2Na6 after structural relaxation (PBE-GGA).

Calculated values
The energy relative to the lowest polymorph listed for this composition comes out at 0.46 eV per formula unit. As for the space group: No. 225. The value obtained for the magnetization is 0.0 μB/f.u. Its formation energy is 0.10 eV per atom.

a b c (Å): 9.181 9.181 9.181
angles (deg): 60.00 60.00 60.00
Element x y z (fractional)
Cs  0.000  0.000  0.000
Rb  0.250  0.250  0.250
Rb  0.750  0.750  0.750
Na  0.308  0.308  0.692
Na  0.308  0.692  0.308
Na  0.308  0.692  0.692
Na  0.692  0.308  0.308
Na  0.692  0.308  0.692
Na  0.692  0.692  0.308

---

Entry 4:
Entry from Alexandria: Li2TlBr after structural relaxation (PBE-GGA).

Calculated values
The energy relative to the lowest polymorph listed for this composition comes out at 0.62 eV per formula unit. The uncorrected formation energy comes out at -0.571 eV/atom. As for the space group: No. 71. The value obtained for the magnetization is 0.0 μB/f.u.

a b c (Å): 5.829 5.829 5.829
angles (deg): 145.29 110.83 79.77
Element x y z (fractional)
Li  0.209  0.209  0.000
Li  0.791  0.791  0.000
Tl  0.500  0.000  0.500
Br  0.000  0.500  0.500